# Ag2MoI4O14 (PBE with a Hubbard U, relaxed)
data_Ag2MoI4O14
_space_group_name_H-M_alt 'C 1 2/c 1'
_space_group_IT_number 15
_cell_length_a 12.615
_cell_length_b 5.875
_cell_length_c 17.824
_cell_angle_alpha 90.00
_cell_angle_beta 98.50
_cell_angle_gamma 90.00
loop_
_space_group_symop_operation_xyz
'x,y,z'
'-x,-y,-z'
'-x,y,-z+1/2'
'x,-y,z+1/2'
'x+1/2,y+1/2,z'
'-x+1/2,-y+1/2,-z'
'-x+1/2,y+1/2,-z+1/2'
'x+1/2,-y+1/2,z+1/2'
loop_
_atom_site_label
_atom_site_type_symbol
_atom_site_fract_x
_atom_site_fract_y
_atom_site_fract_z
Ag1 Ag 0.167 0.005 0.459
Mo1 Mo 0.000 0.083 0.750
I1 I 0.045 0.410 0.588
I2 I 0.210 0.495 0.327
O1 O 0.012 0.154 0.860
O2 O 0.047 0.304 0.997
O3 O 0.111 0.101 0.255
O4 O 0.114 0.389 0.388
O5 O 0.115 0.373 0.748
O6 O 0.166 0.255 0.567
O7 O 0.240 0.247 0.120
# Raw total energy = -396.438 eV/cell